1.
This record from the Alexandria database describes a PBEsol-optimized structure of SiTeWN2. The functional is SCAN.

Geometry as POSCAR:
```
SiTeWN2
1.0
3.610 0.000 0.000
0.000 3.610 0.000
0.000 0.000 6.504
Si Te W N
1 1 1 2
Cartesian
0.000 0.000 0.000
0.000 0.000 3.252
1.805 1.805 3.252
0.000 1.805 0.000
1.805 0.000 0.000
```

Calculated values
Space-group type   P4/mmm, No. 123
DOS at the Fermi energy   2.11 states/eV/cell
Crystal system   tetragonal
Energy relative to the elements, uncorrected   33.0 kcal/mol of atoms
Mass density   7.20 Mg/m³

---

2.
This record from the Alexandria database describes a PBEsol-optimized structure of Ti3SiN. The functional is SCAN.

Geometry as POSCAR:
```
Ti3SiN
1.0
4.520 0.000 0.000
0.000 4.520 0.000
0.000 0.000 4.520
Ti Si N
3 1 1
Cartesian
0.000 0.000 2.260
0.000 2.260 0.000
2.260 0.000 0.000
0.000 0.000 0.000
2.260 2.260 2.260
```

Calculated values
Space-group type   Pm-3m, No. 221
DOS at the Fermi energy   6.53 states/eV/cell
Crystal system   cubic
Energy relative to the elements, uncorrected   29.7 kcal/mol of atoms
Mass density   3.34 Mg/m³

---

3.
This record from the Alexandria database describes a PBEsol-optimized structure of SiW3N. The functional is SCAN.

Geometry as POSCAR:
```
SiW3N
1.0
4.429 0.000 0.000
0.000 4.429 0.000
0.000 0.000 4.429
Si W N
1 3 1
Cartesian
0.000 0.000 0.000
0.000 0.000 2.215
0.000 2.215 0.000
2.215 0.000 0.000
2.215 2.215 2.215
```

Calculated values
Space-group type   Pm-3m, No. 221
DOS at the Fermi energy   4.13 states/eV/cell
Crystal system   cubic
Energy relative to the elements, uncorrected   65.0 kcal/mol of atoms
Mass density   11.35 Mg/m³

---

4.
This record from the Alexandria database describes a PBEsol-optimized structure of Y3Si6N11. The functional is SCAN.

Geometry as POSCAR:
```
Y3Si6N11
1.0
9.888 0.000 0.000
0.000 9.888 0.000
0.000 0.000 4.846
Y Si N
6 12 22
Cartesian
0.000 0.000 0.000
1.808 3.136 0.063
3.136 8.080 0.063
4.944 4.944 0.000
6.752 1.808 0.063
8.080 6.752 0.063
0.792 7.833 2.708
1.181 6.124 0.346
2.055 0.792 2.708
2.889 5.736 2.708
3.763 1.181 0.346
4.151 2.889 2.708
5.736 6.999 2.708
6.124 8.707 0.346
6.999 4.151 2.708
7.833 9.095 2.708
8.707 3.763 0.346
9.095 2.055 2.708
0.000 4.944 0.513
0.783 1.798 3.314
0.790 7.697 0.982
1.506 6.449 3.501
1.798 9.105 3.314
2.191 0.790 0.982
2.753 5.734 0.982
3.146 4.161 3.314
3.438 1.506 3.501
4.154 2.753 0.982
4.161 6.742 3.314
4.944 0.000 0.513
5.727 3.146 3.314
5.734 7.135 0.982
6.449 8.382 3.501
6.742 5.727 3.314
7.135 4.154 0.982
7.697 9.098 0.982
8.090 0.783 3.314
8.382 3.438 3.501
9.098 2.191 0.982
9.105 8.090 3.314
```

Calculated values
Space-group type   P4bm, No. 100
DOS at the Fermi energy   0.00 states/eV/cell
Crystal system   tetragonal
Energy relative to the elements, uncorrected   -36.8 kcal/mol of atoms
Mass density   4.13 Mg/m³

---

5.
This record from the Alexandria database describes a PBEsol-optimized structure of Y5Si3N9. The functional is SCAN.

Geometry as POSCAR:
```
Y5Si3N9
1.0
5.110 -5.431 0.000
5.110 5.431 0.000
0.000 0.000 15.250
Y Si N
20 12 36
Cartesian
5.110 5.402 12.656
5.110 5.306 5.963
2.987 2.850 9.613
2.987 2.580 1.988
2.086 0.000 0.000
3.024 0.000 7.625
7.233 2.850 9.613
7.233 2.580 1.988
5.110 0.125 13.588
5.110 0.029 5.031
5.110 -0.029 10.220
5.110 -0.125 1.662
2.987 -2.580 13.262
2.987 -2.850 5.637
7.196 0.000 7.625
8.134 0.000 0.000
7.233 -2.580 13.262
7.233 -2.850 5.637
5.110 -5.306 9.288
5.110 -5.402 2.595
2.555 0.387 11.438
5.110 2.835 4.208
5.110 2.786 7.398
5.110 2.644 15.023
5.110 2.595 11.833
2.555 -0.387 3.813
7.665 0.387 11.438
5.110 -2.595 3.417
5.110 -2.644 0.227
5.110 -2.786 7.852
5.110 -2.835 11.042
7.665 -0.387 3.813
3.722 3.860 7.581
3.815 3.906 4.012
5.110 3.980 0.879
5.110 3.839 10.664
2.352 0.408 2.302
5.110 3.220 13.414
3.722 1.571 15.206
2.758 0.408 5.323
3.815 1.525 11.637
6.405 3.906 4.012
2.352 -0.408 12.949
6.498 3.860 7.581
5.110 2.210 5.789
2.758 -0.408 9.927
5.110 1.592 3.039
5.110 1.451 8.504
6.405 1.525 11.637
6.498 1.571 15.206
3.722 -1.571 0.044
3.815 -1.525 3.613
5.110 -1.451 6.746
5.110 -1.592 12.211
7.462 0.408 5.323
5.110 -2.210 9.461
3.722 -3.860 7.670
7.868 0.408 2.302
3.815 -3.906 11.238
6.405 -1.525 3.613
7.462 -0.408 9.927
6.498 -1.571 0.044
5.110 -3.220 1.836
7.868 -0.408 12.949
5.110 -3.839 4.586
5.110 -3.980 14.371
6.405 -3.906 11.238
6.498 -3.860 7.670
```

Calculated values
Space-group type   Cmce, No. 64
DOS at the Fermi energy   0.00 states/eV/cell
Crystal system   orthorhombic
Energy relative to the elements, uncorrected   -39.2 kcal/mol of atoms
Mass density   5.14 Mg/m³

---

6.
This record from the Alexandria database describes a PBEsol-optimized structure of Zr5Si3N. The functional is SCAN.

Geometry as POSCAR:
```
Zr5Si3N
1.0
7.870 0.000 0.000
-3.935 6.816 0.000
0.000 0.000 5.553
Zr Si N
10 6 2
Cartesian
-0.918 1.589 1.388
-3.018 5.227 4.165
1.835 0.000 1.388
0.918 1.589 4.165
0.000 4.544 0.000
0.000 4.544 2.777
3.935 2.272 0.000
3.935 2.272 2.777
6.035 0.000 4.165
3.018 5.227 1.388
-1.597 2.765 4.165
-2.339 4.050 1.388
3.193 0.000 4.165
1.597 2.765 1.388
4.677 0.000 1.388
2.339 4.050 4.165
0.000 0.000 0.000
0.000 0.000 2.777
```

Calculated values
Space-group type   P6_3/mcm, No. 193
DOS at the Fermi energy   7.36 states/eV/cell
Crystal system   hexagonal
Energy relative to the elements, uncorrected   -27.0 kcal/mol of atoms
Mass density   6.18 Mg/m³

---

7.
This record from the Alexandria database describes a PBEsol-optimized structure of ZrSi3N. The functional is SCAN.

Geometry as POSCAR:
```
ZrSi3N
1.0
4.059 0.000 0.000
0.000 4.059 0.000
0.000 0.000 4.059
Zr Si N
1 3 1
Cartesian
0.000 0.000 0.000
0.000 2.030 2.030
2.030 0.000 2.030
2.030 2.030 0.000
2.030 2.030 2.030
```

Calculated values
Space-group type   Pm-3m, No. 221
DOS at the Fermi energy   1.48 states/eV/cell
Crystal system   cubic
Energy relative to the elements, uncorrected   4.4 kcal/mol of atoms
Mass density   4.70 Mg/m³

---

8.
This record from the Alexandria database describes a PBEsol-optimized structure of SmN. The functional is SCAN.

Geometry as POSCAR:
```
SmN
1.0
5.013 0.000 0.000
0.000 5.013 0.000
0.000 0.000 5.013
Sm N
4 4
Cartesian
0.000 0.000 0.000
0.000 2.506 2.506
2.506 0.000 2.506
2.506 2.506 0.000
0.000 0.000 2.506
0.000 2.506 0.000
2.506 0.000 0.000
2.506 2.506 2.506
```

Calculated values
Space-group type   Fm-3m, No. 225
DOS at the Fermi energy   0.12 states/eV/cell
Crystal system   cubic
Energy relative to the elements, uncorrected   -41.0 kcal/mol of atoms
Mass density   8.67 Mg/m³

---

9.
This record from the Alexandria database describes a PBEsol-optimized structure of Sr7SnN6. The functional is SCAN.

Geometry as POSCAR:
```
Sr7SnN6
1.0
11.697 0.000 0.000
0.000 6.605 0.000
0.000 0.000 13.986
Sr Sn N
28 4 24
Cartesian
0.000 0.399 3.496
0.000 6.206 10.489
0.411 1.524 7.295
0.411 5.081 0.302
2.433 2.628 1.606
2.433 3.977 8.599
2.739 2.268 12.195
2.739 4.336 5.202
3.109 1.034 5.202
3.109 5.571 12.195
3.415 0.675 8.599
3.415 5.930 1.606
5.438 1.779 0.302
5.438 4.826 7.295
5.849 2.904 10.489
5.849 3.701 3.496
6.259 1.779 6.691
6.259 4.826 13.684
8.282 0.675 12.380
8.282 5.930 5.387
8.588 1.034 1.791
8.588 5.571 8.784
8.958 2.268 8.784
8.958 4.336 1.791
9.264 2.628 5.387
9.264 3.977 12.380
11.286 1.524 13.684
11.286 5.081 6.691
0.000 2.873 10.489
0.000 3.731 3.496
5.849 0.429 3.496
5.849 6.176 10.489
0.690 2.507 5.040
0.690 4.097 12.033
1.567 1.631 9.835
1.567 4.974 2.842
1.929 0.615 13.900
1.929 5.990 6.907
3.919 2.687 6.907
3.919 3.917 13.900
4.282 1.671 2.842
4.282 4.933 9.835
5.158 0.795 12.033
5.158 5.809 5.040
6.539 0.795 8.946
6.539 5.809 1.953
7.415 1.671 4.151
7.415 4.933 11.144
7.778 2.687 0.086
7.778 3.917 7.079
9.768 0.615 7.079
9.768 5.990 0.086
10.130 1.631 11.144
10.130 4.974 4.151
11.007 2.507 1.953
11.007 4.097 8.946
```

Calculated values
Space-group type   Pbcn, No. 60
Crystal system   orthorhombic
Energy relative to the elements, uncorrected   -16.1 kcal/mol of atoms
Mass density   5.02 Mg/m³

---

10.
This record from the Alexandria database describes a PBEsol-optimized structure of SnTe2N. The functional is SCAN.

Geometry as POSCAR:
```
SnTe2N
1.0
3.481 0.000 0.000
-1.741 3.015 0.000
0.000 0.000 27.527
Sn Te N
3 6 3
Cartesian
0.000 0.000 0.000
0.000 2.010 18.351
1.741 1.005 9.176
0.000 0.000 11.830
0.000 0.000 15.697
0.000 2.010 2.655
0.000 2.010 6.521
1.741 1.005 21.006
1.741 1.005 24.872
0.000 0.000 13.764
0.000 2.010 4.588
1.741 1.005 22.939
```

Calculated values
Space-group type   R-3m, No. 166
DOS at the Fermi energy   6.13 states/eV/cell
Crystal system   trigonal
Energy relative to the elements, uncorrected   18.9 kcal/mol of atoms
Mass density   6.69 Mg/m³

---

11.
This record from the Alexandria database describes a PBEsol-optimized structure of YSnTe2N. The functional is SCAN.

Geometry as POSCAR:
```
YSnTe2N
1.0
5.687 0.000 0.000
0.000 5.687 0.000
0.000 0.000 3.968
Y Sn Te N
1 1 2 1
Cartesian
0.000 0.000 0.000
2.843 2.843 1.984
0.000 2.843 1.984
2.843 0.000 1.984
2.843 2.843 0.000
```

Calculated values
Space-group type   P4/mmm, No. 123
DOS at the Fermi energy   1.70 states/eV/cell
Crystal system   tetragonal
Energy relative to the elements, uncorrected   2.5 kcal/mol of atoms
Mass density   6.17 Mg/m³

---

12.
This record from the Alexandria database describes a PBEsol-optimized structure of ZnSnN2. The functional is SCAN.

Geometry as POSCAR:
```
ZnSnN2
1.0
5.626 0.000 0.000
0.000 5.626 0.000
0.000 0.000 5.626
Zn Sn N
4 4 8
Cartesian
0.000 0.000 0.000
0.000 2.813 2.813
2.813 0.000 2.813
2.813 2.813 0.000
0.000 0.000 2.813
0.000 2.813 0.000
2.813 0.000 0.000
2.813 2.813 2.813
1.406 1.406 1.406
1.406 1.406 4.219
1.406 4.219 1.406
1.406 4.219 4.219
4.219 1.406 1.406
4.219 1.406 4.219
4.219 4.219 1.406
4.219 4.219 4.219
```

Calculated values
Space-group type   Fm-3m, No. 225
DOS at the Fermi energy   6.40 states/eV/cell
Crystal system   cubic
Energy relative to the elements, uncorrected   28.3 kcal/mol of atoms
Mass density   7.91 Mg/m³